This record from Alexandria via LeMat-Bulk describes a relaxed MnV3F crystal. The functional is PBE+U.

Properties
Final energy   -24.957 eV/f.u.

a b c (Å): 4.8502 4.8502 4.8502
angles (deg): 90.00 90.00 90.00
Space group Pm-3m (No. 221)
Asymmetric unit:
Mn1 0.0000 0.0000 0.0000
V1 0.0000 0.0000 0.5000
F1 0.5000 0.5000 0.5000